Record 1
Compound: La4Tb3Y
Source: Alexandria via LeMat-Bulk
Functional: GGA-PBE
Structure: relaxed

abc: 11.753 7.368 6.413
angles: 90.00 90.00 90.00
Element x y z (fractional)
La (0.000, 0.124, 0.000)
La (0.000, 0.873, 0.506)
La (0.247, 0.127, 0.328)
La (0.253, 0.873, 0.828)
La (0.500, 0.127, 0.006)
La (0.500, 0.876, 0.500)
La (0.747, 0.873, 0.828)
La (0.753, 0.127, 0.328)
Tb (0.000, 0.380, 0.500)
Tb (0.250, 0.378, 0.831)
Tb (0.250, 0.622, 0.331)
Tb (0.500, 0.620, 0.000)
Tb (0.750, 0.378, 0.831)
Tb (0.750, 0.622, 0.331)
Y (0.000, 0.622, 0.003)
Y (0.500, 0.378, 0.503)

Output
**Symmetry**: Pmn2_1 (31)
**Excess energy over the best structure of this formula in the dataset**: 0 meV per atom
**Fermi-level density of states**: 1.726 states/eV per atom
**Energy of formation**: 0.03 eV per atom

---

Record 2
Compound: SbPS2I
Source: Alexandria via LeMat-Bulk
Functional: GGA-PBE
Structure: relaxed

abc: 4.898 4.898 5.605
angles: 90.00 90.00 90.00
Element x y z (fractional)
Sb (0.000, 0.000, 0.000)
P (0.000, 0.000, 0.500)
S (0.000, 0.500, 0.000)
S (0.500, 0.000, 0.000)
I (0.500, 0.500, 0.500)

Output
**Symmetry**: P4/mmm (123)
**Excess energy over the best structure of this formula in the dataset**: 0 meV per atom
**Fermi-level density of states**: 1.184 states/eV per atom
**Uncorrected formation energy**: 0.75 eV per atom

---

Record 3
Compound: ErAlCu
Source: Alexandria via LeMat-Bulk
Functional: GGA-PBE
Structure: relaxed

abc: 4.458 4.458 4.458
angles: 60.00 60.00 60.00
Element x y z (fractional)
Er (0.000, 0.000, 0.000)
Al (0.500, 0.500, 0.500)
Cu (0.250, 0.250, 0.250)

Output
**Symmetry**: F-43m (216)
**Fermi-level density of states**: 1.308 states/eV per atom
**Energy of formation**: -0.26 eV per atom

---

Record 4
Compound: Er3ThCd2
Source: Alexandria via LeMat-Bulk
Functional: GGA-PBE
Structure: relaxed

abc: 3.630 3.630 12.480
angles: 90.00 90.00 90.00
Element x y z (fractional)
Er (0.000, 0.000, 0.000)
Er (0.000, 0.000, 0.310)
Er (0.000, 0.000, 0.690)
Th (0.500, 0.500, 0.500)
Cd (0.500, 0.500, 0.154)
Cd (0.500, 0.500, 0.846)

Output
**Symmetry**: P4/mmm (123)
**Fermi-level density of states**: 0.885 states/eV per atom
**Energy of formation**: -0.21 eV per atom

---

Record 5
Compound: Pm2Pt2Pb
Source: Alexandria via LeMat-Bulk
Functional: GGA-PBE
Structure: relaxed

abc: 8.016 8.016 3.763
angles: 90.00 90.00 90.00
Element x y z (fractional)
Pm (0.172, 0.328, 0.000)
Pm (0.328, 0.828, 0.000)
Pm (0.672, 0.172, 0.000)
Pm (0.828, 0.672, 0.000)
Pt (0.126, 0.626, 0.500)
Pt (0.374, 0.126, 0.500)
Pt (0.626, 0.874, 0.500)
Pt (0.874, 0.374, 0.500)
Pb (0.000, 0.000, 0.500)
Pb (0.500, 0.500, 0.500)

Output
**Symmetry**: P4/mbm (127)
**Fermi-level density of states**: 0.477 states/eV per atom
**Energy of formation**: -1.01 eV per atom

---

Record 6
Compound: Mg5Zn
Source: Alexandria via LeMat-Bulk
Functional: GGA-PBE
Structure: relaxed

abc: 5.760 5.760 5.174
angles: 90.00 90.00 120.00
Element x y z (fractional)
Mg (0.000, 0.500, 0.000)
Mg (0.333, 0.667, 0.500)
Mg (0.500, 0.000, 0.000)
Mg (0.500, 0.500, 0.000)
Mg (0.667, 0.333, 0.500)
Zn (0.000, 0.000, 0.500)

Output
**Symmetry**: P6/mmm (191)
**Fermi-level density of states**: 0.457 states/eV per atom
**Energy of formation**: 0.25 eV per atom

---

Record 7
Compound: MoPt2Br
Source: Alexandria via LeMat-Bulk
Functional: GGA-PBE
Structure: relaxed

abc: 2.886 2.886 8.754
angles: 90.00 90.00 90.00
Element x y z (fractional)
Mo (0.000, 0.000, 0.000)
Pt (0.500, 0.500, 0.205)
Pt (0.500, 0.500, 0.795)
Br (0.000, 0.000, 0.500)

Output
**Symmetry**: P4/mmm (123)
**Excess energy over the best structure of this formula in the dataset**: 74 meV per atom
**Fermi-level density of states**: 0.994 states/eV per atom
**Uncorrected formation energy**: 0.12 eV per atom

---

Record 8
Compound: LiNdNpSe3
Source: Alexandria via LeMat-Bulk
Functional: GGA-PBE
Structure: relaxed

abc: 8.485 4.046 8.920
angles: 90.00 102.97 90.00
Element x y z (fractional)
Li (0.087, 0.250, 0.083)
Li (0.913, 0.750, 0.917)
Nd (0.184, 0.250, 0.725)
Nd (0.816, 0.750, 0.275)
Np (0.334, 0.750, 0.339)
Np (0.666, 0.250, 0.661)
Se (0.094, 0.250, 0.368)
Se (0.221, 0.750, 0.997)
Se (0.427, 0.750, 0.675)
Se (0.573, 0.250, 0.325)
Se (0.779, 0.250, 0.003)
Se (0.906, 0.750, 0.632)

Output
**Symmetry**: P2_1/m (11)
**Fermi-level density of states**: 2.187 states/eV per atom
**Uncorrected formation energy**: -1.38 eV per atom

---

Record 9
Compound: K3PaMn2Se6
Source: Alexandria via LeMat-Bulk
Functional: GGA-PBE
Structure: relaxed

abc: 7.027 7.027 8.009
angles: 98.41 98.41 120.02
Element x y z (fractional)
K (0.000, 0.000, 0.000)
K (0.333, 0.667, 0.000)
K (0.667, 0.333, 0.000)
Pa (0.500, 0.500, 0.500)
Mn (0.167, 0.833, 0.500)
Mn (0.833, 0.167, 0.500)
Se (0.097, 0.434, 0.304)
Se (0.228, 0.228, 0.697)
Se (0.434, 0.097, 0.304)
Se (0.566, 0.903, 0.696)
Se (0.772, 0.772, 0.303)
Se (0.903, 0.566, 0.696)

Output
**Symmetry**: C2/m (12)
**Uncorrected formation energy**: -1.05 eV per atom

---

Record 10
Compound: Sc2TlHPd
Source: Alexandria via LeMat-Bulk
Functional: GGA-PBE
Structure: relaxed

abc: 4.602 4.602 3.938
angles: 90.00 90.00 90.00
Element x y z (fractional)
Sc (0.000, 0.500, 0.000)
Sc (0.500, 0.000, 0.000)
Tl (0.000, 0.000, 0.500)
H (0.500, 0.500, 0.000)
Pd (0.500, 0.500, 0.500)

Output
**Symmetry**: P4/mmm (123)
**Fermi-level density of states**: 0.639 states/eV per atom
**E**: -26.048 eV for the cell shown

---

Record 11
Compound: BiW2N
Source: Alexandria via LeMat-Bulk
Functional: GGA-PBE
Structure: relaxed

abc: 7.017 7.017 7.017
angles: 137.32 137.32 61.95
Element x y z (fractional)
Bi (0.000, 0.000, 0.000)
Bi (0.750, 0.250, 0.500)
W (0.287, 0.625, 0.162)
W (0.375, 0.537, 0.662)
W (0.463, 0.125, 0.838)
W (0.875, 0.713, 0.338)
N (0.250, 0.750, 0.500)
N (0.500, 0.500, 0.000)

Output
**Symmetry**: I-42d (122)
**Excess energy over the best structure of this formula in the dataset**: 0 meV per atom
**Fermi-level density of states**: 0.778 states/eV per atom
**Uncorrected formation energy**: 0.75 eV per atom

---

Record 12
Compound: AsI
Source: Alexandria via LeMat-Bulk
Functional: GGA-PBE
Structure: relaxed

abc: 14.685 14.685 3.907
angles: 90.00 90.00 120.00
Element x y z (fractional)
As (0.059, 0.503, 0.250)
As (0.444, 0.941, 0.250)
As (0.497, 0.556, 0.250)
As (0.503, 0.444, 0.750)
As (0.556, 0.059, 0.750)
As (0.941, 0.497, 0.750)
I (0.173, 0.706, 0.250)
I (0.294, 0.467, 0.250)
I (0.467, 0.173, 0.750)
I (0.533, 0.827, 0.250)
I (0.706, 0.533, 0.750)
I (0.827, 0.294, 0.750)

Output
**Symmetry**: P6_3/m (176)
**Uncorrected formation energy**: -0.02 eV per atom

---

Record 13
Compound: KNpGeO6
Source: Alexandria via LeMat-Bulk
Functional: GGA-PBE
Structure: relaxed

abc: 5.298 5.298 12.107
angles: 90.00 90.00 120.00
Element x y z (fractional)
K (0.000, 0.000, 0.000)
K (0.000, 0.000, 0.500)
Np (0.333, 0.667, 0.250)
Np (0.667, 0.333, 0.750)
Ge (0.333, 0.667, 0.750)
Ge (0.667, 0.333, 0.250)
O (0.015, 0.384, 0.660)
O (0.015, 0.631, 0.840)
O (0.369, 0.384, 0.840)
O (0.369, 0.985, 0.660)
O (0.384, 0.015, 0.160)
O (0.384, 0.369, 0.340)
O (0.616, 0.631, 0.660)
O (0.616, 0.985, 0.840)
O (0.631, 0.015, 0.340)
O (0.631, 0.616, 0.160)
O (0.985, 0.369, 0.160)
O (0.985, 0.616, 0.340)

Output
**Symmetry**: P-31c (163)
**Uncorrected formation energy**: -2.04 eV per atom

---

Record 14
Compound: Pa2GeRh2
Source: Alexandria via LeMat-Bulk
Functional: GGA-PBE
Structure: relaxed

abc: 7.464 7.464 3.644
angles: 90.00 90.00 90.00
Element x y z (fractional)
Pa (0.177, 0.323, 0.000)
Pa (0.323, 0.823, 0.000)
Pa (0.677, 0.177, 0.000)
Pa (0.823, 0.677, 0.000)
Ge (0.000, 0.000, 0.500)
Ge (0.500, 0.500, 0.500)
Rh (0.133, 0.633, 0.500)
Rh (0.367, 0.133, 0.500)
Rh (0.633, 0.867, 0.500)
Rh (0.867, 0.367, 0.500)

Output
**Symmetry**: P4/mbm (127)
**Fermi-level density of states**: 0.812 states/eV per atom
**Energy of formation**: -0.80 eV per atom

---

Record 15
Compound: CsScHgB2
Source: Alexandria via LeMat-Bulk
Functional: GGA-PBE
Structure: relaxed

abc: 4.882 4.882 5.578
angles: 90.00 90.00 90.00
Element x y z (fractional)
Cs (0.000, 0.000, 0.000)
Sc (0.000, 0.000, 0.500)
Hg (0.500, 0.500, 0.500)
B (0.000, 0.500, 0.000)
B (0.500, 0.000, 0.000)

Output
**Symmetry**: P4/mmm (123)
**Fermi-level density of states**: 1.051 states/eV per atom
**Energy of formation**: 2.50 eV per atom

---

Record 16
Compound: NiSn3Ge
Source: Alexandria via LeMat-Bulk
Functional: GGA-PBE
Structure: relaxed

abc: 4.972 4.972 4.972
angles: 90.00 90.00 90.00
Element x y z (fractional)
Ni (0.000, 0.000, 0.000)
Sn (0.000, 0.000, 0.500)
Sn (0.000, 0.500, 0.000)
Sn (0.500, 0.000, 0.000)
Ge (0.500, 0.500, 0.500)

Output
**Symmetry**: Pm-3m (221)
**Excess energy over the best structure of this formula in the dataset**: 0 meV per atom
**Fermi-level density of states**: 0.254 states/eV per atom
**Energy of formation**: 0.20 eV per atom